1.
This record from Alexandria describes a geometry-optimized Li3Ir structure. The functional is GGA-PBEsol.

Cell lengths 4.6591, 4.6591, 4.9547 Å; angles 95.10, 95.10, 30.95 degrees
Positions (direct):
1 Li 0.0000 0.0000 0.0000
2 Li 0.2440 0.2440 0.7234
3 Li 0.7560 0.7560 0.2766
4 Ir 0.5000 0.5000 0.5000

Results
The size of the total moment comes out at 0.00 μB/f.u. As for the uncorrected energy: -4.00 eV per atom. The formation energy comes out at -0.069 eV/atom. Its crystal system is monoclinic.



2.
This record from Alexandria describes a geometry-optimized Li3Ir structure. The functional is GGA-PBEsol.

Cell lengths 3.6992, 3.6992, 3.6992 Å; angles 90.00, 90.00, 90.00 degrees
Positions (direct):
1 Li 0.0000 0.0000 0.5000
2 Li 0.0000 0.5000 0.0000
3 Li 0.5000 0.0000 0.0000
4 Ir 0.5000 0.5000 0.5000

Results
The size of the total moment comes out at 0.00 μB/f.u. As for the uncorrected energy: -3.84 eV per atom. The formation energy comes out at 0.091 eV/atom. Its crystal system is cubic.



3.
This record from Alexandria describes a geometry-optimized Li3Ir structure. The functional is GGA-PBEsol.

Cell lengths 4.8241, 4.8241, 2.5248 Å; angles 90.00, 90.00, 114.67 degrees
Positions (direct):
1 Li 0.0000 0.0000 0.0000
2 Li 0.0000 0.5000 0.5000
3 Li 0.5000 0.0000 0.5000
4 Ir 0.5000 0.5000 0.0000

Results
The size of the total moment comes out at 0.00 μB/f.u. As for the uncorrected energy: -3.98 eV per atom. The formation energy comes out at -0.052 eV/atom. Its crystal system is orthorhombic.